A plane-wave DFT calculation with PBE was carried out for a relaxed structure of Fe2HgCl.

Cell lengths 5.614, 5.180, 2.963 Å; angles 78.15, 81.45, 119.96 degrees
Atoms (fractional coordinates):
Fe: 0.500 0.000 0.500
Fe: 0.000 0.000 0.000
Cl: 0.500 0.500 0.000
Hg: 0.000 0.500 0.500

Properties
- Magnetization: 6.25 μB per cell
- Calculated density: 8.3 g cm⁻³
- Formation energy (no corrections): 0.572 eV/atom
- Energy above the lowest structure with this stoichiometry: 435 meV per atom